Entry 1:
Dy2BiPb: relaxed, PBE.

Cell and atoms, written as POSCAR:
```
Dy2BiPb
1.0
-0.127 0.611 -4.337
3.727 -3.440 -0.593
-3.488 -3.706 -0.420
Dy Bi Pb
2 1 1
Cartesian
-1.744 -1.853 -0.210 Dy
1.863 -1.720 -0.297 Dy
0.056 -3.267 -2.675 Bi
-0.063 0.305 -2.169 Pb
```

Values from the calculation:
Uncorrected energy: -0.172 Ha/atom
ΔH_f (0 K): -490 meV per atom
Crystal system: tetragonal
Symmetry: P4/mmm, No. 123


Entry 2:
Dy8Bi2Pb: relaxed, PBE.

Cell and atoms, written as POSCAR:
```
Dy8Bi2Pb
1.0
5.186 0.000 0.000
0.000 6.863 1.302
-2.593 -1.321 9.186
Pb Dy Bi
1 8 2
Cartesian
2.593 0.000 0.000 Pb
0.000 1.989 4.453 Dy
0.000 1.657 0.913 Dy
0.000 5.389 7.393 Dy
0.000 1.947 8.062 Dy
2.593 3.885 9.575 Dy
2.593 0.154 3.094 Dy
2.593 3.553 6.035 Dy
2.593 3.596 2.426 Dy
0.000 5.196 4.125 Bi
2.593 0.347 6.363 Bi
```

Values from the calculation:
Uncorrected energy: -0.174 Ha/atom
ΔH_f (0 K): -332 meV per atom
Crystal system: monoclinic
Symmetry: C2/m, No. 12


Entry 3:
DyBiPb: relaxed, PBE.

Cell and atoms, written as POSCAR:
```
DyBiPb
1.0
4.737 0.000 0.000
0.000 4.412 0.000
0.000 0.000 17.369
Pb Dy Bi
4 4 4
Cartesian
3.563 1.103 14.443 Pb
3.543 1.103 5.759 Pb
1.174 3.309 2.926 Pb
1.194 3.309 11.610 Pb
1.174 3.309 6.079 Dy
3.563 1.103 11.290 Dy
1.194 3.309 14.763 Dy
3.543 1.103 2.606 Dy
3.552 3.309 8.639 Bi
1.185 1.103 8.730 Bi
1.184 1.103 0.046 Bi
3.554 3.309 17.323 Bi
```

Values from the calculation:
Uncorrected energy: -0.160 Ha/atom
ΔH_f (0 K): -291 meV per atom
Crystal system: orthorhombic
Symmetry: Pnma, No. 62


Entry 4:
Dy4Bi3Pb: relaxed, PBE.

Cell and atoms, written as POSCAR:
```
Dy4Bi3Pb
1.0
-1.077 -4.804 -3.967
-1.657 -3.660 4.882
-6.006 1.871 -0.635
Dy Bi Pb
4 3 1
Cartesian
-4.370 -3.296 0.140 Dy
-0.828 -1.830 2.441 Dy
-3.003 0.936 -0.318 Dy
-0.539 -2.402 -1.983 Dy
-3.542 -1.466 -2.301 Bi
-1.367 -4.232 0.458 Bi
-3.831 -0.894 2.124 Bi
0.000 0.000 0.000 Pb
```

Values from the calculation:
Uncorrected energy: -0.182 Ha/atom
ΔH_f (0 K): -726 meV per atom
Crystal system: cubic
Symmetry: Pm-3m, No. 221


Entry 5:
Dy5Bi2Pb2: relaxed, PBE.

Cell and atoms, written as POSCAR:
```
Dy5Bi2Pb2
1.0
-2.384 -6.697 3.133
7.528 -3.361 -1.457
0.216 7.794 7.194
Pb Dy Bi
4 10 4
Cartesian
2.584 0.591 3.875 Pb
5.316 -3.989 4.503 Pb
7.238 -3.232 -1.401 Pb
2.282 -4.900 0.894 Pb
1.095 5.238 6.462 Dy
4.183 -6.859 2.215 Dy
-0.571 0.357 3.143 Dy
2.698 -2.715 3.066 Dy
4.672 3.034 5.979 Dy
0.232 -5.702 3.188 Dy
0.499 1.417 6.223 Dy
3.767 -1.655 6.146 Dy
-0.389 -3.179 6.205 Dy
5.474 1.037 2.718 Dy
6.109 0.233 5.830 Bi
-0.391 -2.658 2.971 Bi
4.397 -1.464 0.898 Bi
1.322 -0.960 7.903 Bi
```

Values from the calculation:
Uncorrected energy: -0.171 Ha/atom
ΔH_f (0 K): -399 meV per atom
Crystal system: orthorhombic
Symmetry: Ima2, No. 46


Entry 6:
Dy2BiPb: relaxed, PBE.

Cell and atoms, written as POSCAR:
```
Dy2BiPb
1.0
4.260 0.000 0.000
2.130 3.689 0.000
2.130 1.230 8.120
Pb Dy Bi
1 2 1
Cartesian
4.260 2.459 4.087 Pb
2.130 1.230 1.934 Dy
2.130 1.230 6.191 Dy
6.389 3.689 8.087 Bi
```

Values from the calculation:
Uncorrected energy: -0.173 Ha/atom
ΔH_f (0 K): -514 meV per atom
Crystal system: trigonal
Symmetry: R3m, No. 160